Record 1
An optimized crystal structure of BaPu3C4N12. Source: Alexandria via LeMat-Bulk, functional GGA-PBE.

Unit cell a=10.0590 b=10.0590 c=8.9647 alpha=90.00 beta=90.00 gamma=120.00
Space group R32 (No. 155, hexagonal axes)
Asymmetric unit:
Ba 0.0000 0.0000 0.0000 (multiplicity 3)
Pu 0.0000 0.5485 0.0000 (multiplicity 9)
C 0.0000 0.0000 0.5000 (multiplicity 3)
C 0.0000 0.4498 0.5000 (multiplicity 9)
N 0.0000 0.5868 0.5000 (multiplicity 9)
N 0.0000 0.8645 0.5000 (multiplicity 9)
N 0.0124 0.2179 0.2088 (multiplicity 18)

Values from the calculation:
M_tot: 17.83 μB per cell
raw formation energy: -6.0 kcal/mol of atoms
energy: -9.34 eV per atom



Record 2
An optimized crystal structure of Lu2FeAg. Source: Alexandria via LeMat-Bulk, functional GGA-PBE.

Unit cell a=3.278 b=3.278 c=7.390 alpha=90.00 beta=90.00 gamma=90.00
Space group P4/mmm (No. 123)
Asymmetric unit:
Lu 0.000 0.000 0.214 (multiplicity 2)
Fe 0.500 0.500 0.000 (multiplicity 1)
Ag 0.500 0.500 0.500 (multiplicity 1)

Values from the calculation:
M_tot: 0.00 μB per cell
relative energy among the computed polymorphs: 0.000 eV/atom
energy: -5.28 eV per atom



Record 3
An optimized crystal structure of LiSc2TcH. Source: Alexandria via LeMat-Bulk, functional GGA-PBE.

Unit cell a=4.505 b=4.505 c=3.507 alpha=90.00 beta=90.00 gamma=90.00
Space group P4/mmm (No. 123)
Asymmetric unit:
Li 0.000 0.000 0.000 (multiplicity 1)
Sc 0.000 0.500 0.500 (multiplicity 2)
Tc 0.500 0.500 0.000 (multiplicity 1)
H 0.000 0.000 0.500 (multiplicity 1)

Values from the calculation:
M_tot: 0.00 μB per cell
energy: -5.85 eV per atom



Record 4
An optimized crystal structure of Cd2TcP. Source: Alexandria via LeMat-Bulk, functional GGA-PBE.

Unit cell a=6.982 b=4.019 c=5.843 alpha=90.00 beta=113.41 gamma=90.00
Space group Cm (No. 8)
Asymmetric unit:
Cd 0.000 0.000 0.000 (multiplicity 2)
Cd 0.228 0.000 0.686 (multiplicity 2)
Tc 0.290 0.500 0.369 (multiplicity 2)
P 0.441 0.000 0.321 (multiplicity 2)

Values from the calculation:
M_tot: 0.00 μB per cell
energy: -4.35 eV per atom



Record 5
An optimized crystal structure of Hf2ZrBI. Source: Alexandria via LeMat-Bulk, functional GGA-PBE.

Unit cell a=4.558 b=4.558 c=4.973 alpha=90.00 beta=90.00 gamma=90.00
Space group P4/mmm (No. 123)
Asymmetric unit:
Hf 0.000 0.500 0.000 (multiplicity 2)
Zr 0.000 0.000 0.500 (multiplicity 1)
B 0.000 0.000 0.000 (multiplicity 1)
I 0.500 0.500 0.500 (multiplicity 1)

Values from the calculation:
M_tot: 0.00 μB per cell
raw formation energy: 3.7 kcal/mol of atoms
energy: -7.17 eV per atom



Record 6
An optimized crystal structure of LiLaRe. Source: Alexandria via LeMat-Bulk, functional GGA-PBE.

Unit cell a=6.527 b=6.527 c=6.527 alpha=90.00 beta=90.00 gamma=90.00
Space group F-43m (No. 216)
Asymmetric unit:
Li 0.000 0.000 0.000 (multiplicity 4)
La 0.000 0.000 0.500 (multiplicity 4)
Re 0.250 0.250 0.750 (multiplicity 4)

Values from the calculation:
M_tot: 4.01 μB per cell
relative energy among the computed polymorphs: 0.319 eV/atom
energy: -5.59 eV per atom



Record 7
An optimized crystal structure of SrDy4Hg5. Source: Alexandria via LeMat-Bulk, functional GGA-PBE.

Unit cell a=3.765 b=3.765 c=18.942 alpha=90.00 beta=90.00 gamma=90.00
Space group P4/mmm (No. 123)
Asymmetric unit:
Sr 0.000 0.000 0.000 (multiplicity 1)
Dy 0.000 0.000 0.209 (multiplicity 2)
Dy 0.000 0.000 0.403 (multiplicity 2)
Hg 0.500 0.500 0.118 (multiplicity 2)
Hg 0.500 0.500 0.306 (multiplicity 2)
Hg 0.500 0.500 0.500 (multiplicity 1)

Values from the calculation:
M_tot: 0.00 μB per cell
energy: -2.65 eV per atom



Record 8
An optimized crystal structure of BaCaFe2. Source: Alexandria via LeMat-Bulk, functional GGA-PBE.

Unit cell a=8.197 b=8.197 c=6.196 alpha=90.00 beta=90.00 gamma=90.00
Space group I-42d (No. 122)
Asymmetric unit:
Ba 0.000 0.000 0.000 (multiplicity 4)
Ca 0.000 0.000 0.500 (multiplicity 4)
Fe 0.239 0.250 0.625 (multiplicity 8)

Values from the calculation:
M_tot: 17.24 μB per cell
relative energy among the computed polymorphs: 0.601 eV/atom
energy: -4.17 eV per atom



Record 9
An optimized crystal structure of Ho5Si2Hg2. Source: Alexandria via LeMat-Bulk, functional GGA-PBE.

Unit cell a=15.811 b=7.502 c=7.511 alpha=90.00 beta=90.00 gamma=90.00
Space group Cmce (No. 64)
Asymmetric unit:
Ho 0.000 0.000 0.000 (multiplicity 4)
Ho 0.127 0.181 0.324 (multiplicity 16)
Si 0.000 0.119 0.621 (multiplicity 8)
Hg 0.217 0.000 0.000 (multiplicity 8)

Values from the calculation:
M_tot: 0.00 μB per cell
raw formation energy: -14.0 kcal/mol of atoms
energy: -4.42 eV per atom



Record 10
An optimized crystal structure of GeP2Pb2. Source: Alexandria via LeMat-Bulk, functional GGA-PBE.

Unit cell a=7.697 b=7.697 c=4.014 alpha=90.00 beta=90.00 gamma=90.00
Space group P4/mbm (No. 127)
Asymmetric unit:
Ge 0.000 0.000 0.000 (multiplicity 2)
P 0.168 0.332 0.000 (multiplicity 4)
Pb 0.151 0.651 0.500 (multiplicity 4)

Values from the calculation:
M_tot: 0.00 μB per cell
relative energy among the computed polymorphs: 0.051 eV/atom
energy: -4.27 eV per atom



Record 11
An optimized crystal structure of ReTe2F. Source: Alexandria via LeMat-Bulk, functional GGA-PBE.

Unit cell a=6.275 b=6.275 c=11.088 alpha=90.00 beta=90.00 gamma=90.00
Space group I-42d (No. 122)
Asymmetric unit:
Re 0.000 0.000 0.000 (multiplicity 4)
Te 0.231 0.250 0.125 (multiplicity 8)
F 0.000 0.000 0.500 (multiplicity 4)

Values from the calculation:
M_tot: 0.00 μB per cell
raw formation energy: -0.7 kcal/mol of atoms
relative energy among the computed polymorphs: 0.203 eV/atom
energy: -5.18 eV per atom



Record 12
An optimized crystal structure of Ta14RuW. Source: Alexandria via LeMat-Bulk, functional GGA-PBE.

Unit cell a=6.579 b=9.323 c=9.290 alpha=90.00 beta=90.00 gamma=90.00
Space group Cmmm (No. 65)
Asymmetric unit:
Ta 0.000 0.000 0.000 (multiplicity 2)
Ta 0.000 0.249 0.248 (multiplicity 8)
Ta 0.000 0.500 0.000 (multiplicity 2)
Ta 0.250 0.000 0.260 (multiplicity 8)
Ta 0.250 0.250 0.000 (multiplicity 4)
Ta 0.250 0.250 0.500 (multiplicity 4)
Ru 0.000 0.500 0.500 (multiplicity 2)
W 0.000 0.000 0.500 (multiplicity 2)

Values from the calculation:
M_tot: 0.00 μB per cell
energy: -11.84 eV per atom



- What is the formula in the second record?
  Lu2FeAg



- What is the formula in the fifth record?
  Hf2ZrBI



- Which formula does entry 5 have?
  Hf2ZrBI